## A
In3PtO, optimized geometry, DFT PBE-GGA; space group = Pm-3m
1.0
4.640 0.000 0.000
0.000 4.640 0.000
0.000 0.000 4.640
In Pt O
3 1 1
Cartesian
0.000 0.000 2.320 In
0.000 2.320 0.000 In
2.320 0.000 0.000 In
2.320 2.320 2.320 Pt
0.000 0.000 0.000 O

---

## B
In3PtO, optimized geometry, DFT PBE-GGA; space group = Pm-3m
1.0
5.126 0.000 0.000
0.000 5.126 0.000
0.000 0.000 5.126
In Pt O
3 1 1
Cartesian
0.000 0.000 2.563 In
0.000 2.563 0.000 In
2.563 0.000 0.000 In
0.000 0.000 0.000 Pt
2.563 2.563 2.563 O

---

Ordering by calculated energy gives the sequence A, B, with the first entry being the most stable.

---

## A
InRe2O, optimized geometry, DFT PBE-GGA; space group = Fm-3m
1.0
0.000 3.099 3.099
3.099 0.000 3.099
3.099 3.099 0.000
In Re O
1 2 1
Cartesian
0.000 0.000 0.000 In
1.549 1.549 1.549 Re
4.648 4.648 4.648 Re
3.099 3.099 3.099 O

---

## B
InRe2O, optimized geometry, DFT PBE-GGA; space group = I-42d
1.0
-2.372 2.372 6.654
2.372 -2.372 6.654
2.372 2.372 -6.654
In Re O
2 4 2
Cartesian
0.000 0.000 0.000 In
0.000 2.372 3.327 In
1.186 -0.263 4.990 Re
2.109 1.186 1.663 Re
1.186 2.635 -1.663 Re
0.263 1.186 8.317 Re
2.372 0.000 3.327 O
0.000 0.000 6.654 O

---

Ordering by calculated energy gives the sequence B, A, with the first entry being the most stable.

---

## A
In3ReO, optimized geometry, DFT PBE-GGA; space group = Pm-3m
1.0
4.528 0.000 0.000
0.000 4.528 0.000
0.000 0.000 4.528
In Re O
3 1 1
Cartesian
0.000 0.000 2.264 In
0.000 2.264 0.000 In
2.264 0.000 0.000 In
2.264 2.264 2.264 Re
0.000 0.000 0.000 O

---

## B
In3ReO, optimized geometry, DFT PBE-GGA; space group = Pm-3m
1.0
5.238 0.000 0.000
0.000 5.238 0.000
0.000 0.000 5.238
In Re O
3 1 1
Cartesian
0.000 0.000 2.619 In
0.000 2.619 0.000 In
2.619 0.000 0.000 In
0.000 0.000 0.000 Re
2.619 2.619 2.619 O

---

Ordering by calculated energy gives the sequence A, B, with the first entry being the most stable.

---

## A
In3RhO, optimized geometry, DFT PBE-GGA; space group = Pm-3m
1.0
5.069 0.000 0.000
0.000 5.069 0.000
0.000 0.000 5.069
In Rh O
3 1 1
Cartesian
0.000 0.000 2.534 In
0.000 2.534 0.000 In
2.534 0.000 0.000 In
0.000 0.000 0.000 Rh
2.534 2.534 2.534 O

---

## B
In3RhO, optimized geometry, DFT PBE-GGA; space group = Pm-3m
1.0
4.570 0.000 0.000
0.000 4.570 0.000
0.000 0.000 4.570
In Rh O
3 1 1
Cartesian
0.000 0.000 2.285 In
0.000 2.285 0.000 In
2.285 0.000 0.000 In
2.285 2.285 2.285 Rh
0.000 0.000 0.000 O

---

Ordering by calculated energy gives the sequence B, A, with the first entry being the most stable.

---

## A
InSO2, optimized geometry, DFT PBE-GGA; space group = Fm-3m
1.0
0.000 2.916 2.916
2.916 0.000 2.916
2.916 2.916 0.000
In S O
1 1 2
Cartesian
0.000 0.000 0.000 In
2.916 2.916 2.916 S
1.458 1.458 1.458 O
4.375 4.375 4.375 O

---

## B
InSO2, optimized geometry, DFT PBE-GGA; space group = R-3m
1.0
1.571 0.907 6.791
-1.571 0.907 6.791
0.000 -1.814 6.791
In S O
1 1 2
Cartesian
0.000 0.000 0.000 In
0.000 0.000 10.187 S
0.000 0.000 2.412 O
0.000 0.000 17.962 O

---

## C
InSO2, optimized geometry, DFT PBE-GGA; space group = I-42d
1.0
-2.985 2.985 3.109
2.985 -2.985 3.109
2.985 2.985 -3.109
In S O
2 2 4
Cartesian
0.000 0.000 0.000 In
0.000 2.985 1.554 In
2.985 0.000 1.554 S
0.000 0.000 3.109 S
4.478 1.387 -0.777 O
1.387 1.493 0.777 O
-1.493 1.599 2.331 O
1.599 1.493 3.886 O

---

Ordering by calculated energy gives the sequence C, B, A, with the first entry being the most stable.

---

## A
In2SbO, optimized geometry, DFT PBE-GGA; space group = I-42d
1.0
-2.877 2.877 6.154
2.877 -2.877 6.154
2.877 2.877 -6.154
In Sb O
4 2 2
Cartesian
4.315 0.915 -1.538 In
0.915 1.438 1.538 In
-1.438 1.962 4.615 In
1.962 1.438 7.692 In
2.877 0.000 3.077 Sb
0.000 0.000 6.154 Sb
0.000 0.000 0.000 O
0.000 2.877 3.077 O

---

## B
In2SbO, optimized geometry, DFT PBE-GGA; space group = Fm-3m
1.0
0.000 3.490 3.490
3.490 0.000 3.490
3.490 3.490 0.000
In Sb O
2 1 1
Cartesian
1.745 1.745 1.745 In
5.234 5.234 5.234 In
0.000 0.000 0.000 Sb
3.490 3.490 3.490 O

---

Ordering by calculated energy gives the sequence A, B, with the first entry being the most stable.

---

## A
In3Sb5O12, optimized geometry, DFT PBE-GGA; space group = Ia-3d
1.0
-7.067 7.067 7.067
7.067 -7.067 7.067
7.067 7.067 -7.067
In Sb O
12 20 48
Cartesian
3.534 1.767 0.000 In
7.067 3.534 -1.767 In
1.767 0.000 3.534 In
8.834 0.000 3.534 In
0.000 3.534 1.767 In
3.534 -1.767 7.067 In
3.534 8.834 0.000 In
7.067 3.534 5.301 In
-1.767 7.067 3.534 In
5.301 7.067 3.534 In
0.000 3.534 8.834 In
3.534 5.301 7.067 In
0.000 0.000 0.000 Sb
3.534 3.534 -3.534 Sb
3.534 -3.534 3.534 Sb
7.067 0.000 0.000 Sb
10.601 1.767 0.000 Sb
7.067 -3.534 5.301 Sb
5.301 7.067 -3.534 Sb
5.301 0.000 3.534 Sb
3.534 5.301 0.000 Sb
7.067 3.534 1.767 Sb
-3.534 3.534 3.534 Sb
0.000 7.067 0.000 Sb
0.000 0.000 7.067 Sb
3.534 3.534 3.534 Sb
0.000 3.534 5.301 Sb
3.534 1.767 7.067 Sb
1.767 7.067 3.534 Sb
1.767 0.000 10.601 Sb
0.000 10.601 1.767 Sb
-3.534 5.301 7.067 Sb
2.138 -0.571 0.597 O
8.463 4.130 -4.105 O
9.205 0.571 0.597 O
8.463 -2.937 4.105 O
6.496 -0.597 2.138 O
11.172 -1.396 2.937 O
0.597 2.138 -0.571 O
10.004 2.963 -1.396 O
4.130 4.105 -1.396 O
6.471 2.138 0.571 O
-0.571 0.597 2.138 O
4.105 -1.396 4.130 O
6.496 6.471 -2.138 O
4.105 1.396 2.937 O
4.130 -4.105 8.463 O
6.471 -2.138 6.496 O
2.937 4.105 1.396 O
7.664 4.930 0.571 O
4.105 8.463 -2.937 O
6.496 0.597 4.930 O
2.138 6.496 -0.597 O
8.463 2.937 2.963 O
1.396 2.937 4.105 O
2.138 0.571 6.471 O
4.930 6.496 0.597 O
5.671 4.130 2.963 O
-1.396 4.130 4.105 O
4.930 0.571 7.664 O
0.571 6.471 2.138 O
2.963 -1.396 10.004 O
-0.597 2.138 6.496 O
4.130 2.963 5.671 O
0.597 9.205 0.571 O
2.937 11.172 -1.396 O
2.963 5.671 4.130 O
0.571 0.597 9.205 O
2.963 8.463 2.937 O
7.638 6.471 4.930 O
0.597 4.930 6.496 O
2.937 2.963 8.463 O
-2.937 4.105 8.463 O
6.471 4.930 7.638 O
-4.105 8.463 4.130 O
0.571 7.664 4.930 O
-1.396 10.004 2.963 O
-2.138 6.496 6.471 O
-1.396 2.937 11.172 O
4.930 7.638 6.471 O

---

## B
In3Sb5O12, optimized geometry, DFT PBE-GGA; space group = I-43m
1.0
-5.361 5.361 5.361
5.361 -5.361 5.361
5.361 5.361 -5.361
In Sb O
6 10 24
Cartesian
5.361 2.681 0.000 In
5.361 0.000 2.681 In
2.681 5.361 0.000 In
2.681 0.000 5.361 In
0.000 5.361 2.681 In
0.000 2.681 5.361 In
2.595 2.595 -2.595 Sb
3.043 0.000 0.000 Sb
2.595 -2.595 2.595 Sb
7.679 0.000 0.000 Sb
0.000 3.043 0.000 Sb
0.000 0.000 3.043 Sb
-2.595 2.595 2.595 Sb
2.766 2.766 2.766 Sb
0.000 7.679 0.000 Sb
0.000 0.000 7.679 Sb
4.306 1.112 -1.112 O
4.306 -1.112 1.112 O
7.087 1.469 -1.469 O
7.087 -1.469 1.469 O
3.892 3.892 -1.726 O
3.892 -1.726 3.892 O
6.416 1.112 1.112 O
3.635 1.469 1.469 O
1.112 4.306 -1.112 O
1.112 -1.112 4.306 O
1.469 3.635 1.469 O
1.469 1.469 3.635 O
4.249 4.249 1.055 O
4.249 1.055 4.249 O
-1.112 4.306 1.112 O
-1.112 1.112 4.306 O
1.469 7.087 -1.469 O
1.469 -1.469 7.087 O
1.112 6.416 1.112 O
1.112 1.112 6.416 O
-1.726 3.892 3.892 O
1.055 4.249 4.249 O
-1.469 7.087 1.469 O
-1.469 1.469 7.087 O

---

Ordering by calculated energy gives the sequence B, A, with the first entry being the most stable.

---

## A
InSb2TeO, optimized geometry, DFT PBE-GGA; space group = P4/mmm
1.0
5.625 0.000 0.000
0.000 5.625 0.000
0.000 0.000 5.550
In Sb Te O
1 2 1 1
Cartesian
0.000 0.000 0.000 In
0.000 2.812 0.000 Sb
2.812 0.000 0.000 Sb
0.000 0.000 2.775 Te
2.812 2.812 2.775 O

---

## B
InSb2TeO, optimized geometry, DFT PBE-GGA; space group = P4/mmm
1.0
4.732 0.000 0.000
0.000 4.732 0.000
0.000 0.000 5.527
In Sb Te O
1 2 1 1
Cartesian
0.000 0.000 0.000 In
0.000 2.366 2.763 Sb
2.366 0.000 2.763 Sb
2.366 2.366 0.000 Te
2.366 2.366 2.763 O

---

Ordering by calculated energy gives the sequence B, A, with the first entry being the most stable.

---

## A
ScInO2, optimized geometry, DFT PBE-GGA; space group = R-3m
1.0
1.579 0.912 6.648
-1.579 0.912 6.648
0.000 -1.823 6.648
Sc In O
1 1 2
Cartesian
0.000 0.000 0.000 Sc
0.000 0.000 9.972 In
0.000 0.000 7.717 O
0.000 0.000 12.226 O

---

## B
ScInO2, optimized geometry, DFT PBE-GGA; space group = Fm-3m
1.0
0.000 2.962 2.962
2.962 0.000 2.962
2.962 2.962 0.000
Sc In O
1 1 2
Cartesian
0.000 0.000 0.000 Sc
2.962 2.962 2.962 In
1.481 1.481 1.481 O
4.444 4.444 4.444 O

---

## C
ScInO2, optimized geometry, DFT PBE-GGA; space group = I-42d
1.0
-2.872 2.872 4.537
2.872 -2.872 4.537
2.872 2.872 -4.537
Sc In O
2 2 4
Cartesian
0.000 0.000 0.000 Sc
0.000 2.872 2.268 Sc
2.872 0.000 2.268 In
0.000 0.000 4.537 In
4.308 0.800 -1.134 O
0.800 1.436 1.134 O
-1.436 2.072 3.403 O
2.072 1.436 5.671 O

---

Ordering by calculated energy gives the sequence A, C, B, with the first entry being the most stable.

---

## A
Sc2InO, optimized geometry, DFT PBE-GGA; space group = I-42d
1.0
-3.262 3.262 3.784
3.262 -3.262 3.784
3.262 3.262 -3.784
Sc In O
4 2 2
Cartesian
4.892 0.835 -0.946 Sc
0.835 1.631 0.946 Sc
-1.631 2.426 2.838 Sc
2.426 1.631 4.730 Sc
3.262 0.000 1.892 In
0.000 0.000 3.784 In
0.000 0.000 0.000 O
0.000 3.262 1.892 O

---

## B
Sc2InO, optimized geometry, DFT PBE-GGA; space group = P4/mmm
1.0
2.935 0.000 0.000
0.000 2.935 0.000
0.000 0.000 7.540
Sc In O
2 1 1
Cartesian
0.000 0.000 1.420 Sc
0.000 0.000 6.119 Sc
1.468 1.468 3.770 In
1.468 1.468 0.000 O

---

Ordering by calculated energy gives the sequence A, B, with the first entry being the most stable.